The following is a DFT calculation (SCAN) of NaCoB3 at its PBEsol-relaxed geometry.

Summary:
As for the volume: 10.85 Å³ per atom. The formation enthalpy at 0 K is 643 meV/atom. The total magnetization is 0.01 μB/f.u. The value obtained for the density is 3.5 g/cm³.

Cell: 3.7856 3.7856 3.7856 Å, 90.00 90.00 90.00°
Last column: nearest neighbours and their distance in Å.
Fractional coordinates of all 5 atoms:
B 0.0000 0.5000 0.0000  2 Co 1.89
B 0.0000 0.0000 0.5000  2 Co 1.89
Na 0.5000 0.5000 0.5000  12 B 2.68
Co 0.0000 0.0000 0.0000  6 B 1.89
B 0.5000 0.0000 0.0000  2 Co 1.89